5
Lattice="4.1098 0.0000 0.0000 0.0000 4.0889 -10.0318 0.0000 4.0889 10.0318" Properties=species:S:1:pos:R:3 comment="NaSr3Ni | Alexandria via LeMat-Bulk | PBE | relaxed" total_energy_ev_per_fu=-10.3 e_form_ev_per_atom=0.3650 dos_at_fermi_per_ev_atom=0.736 magmom_total_mub_per_atom=0.000 spacegroup="Amm2, No. 38" polymorph_energy_kj_per_mol_atoms=37.2 pbc="T T T"
Na 2.0549 4.0889 8.0939
Sr 2.0549 6.0764 1.4572
Sr 2.0549 2.1013 1.4572
Sr 0.0000 4.0889 4.6238
Ni 0.0000 4.0889 1.8623